[1]
Compound: Ba12Tl3H5
Source: Alexandria via LeMat-Bulk
Functional: PBE
Structure: optimized geometry

Calculated values
crystal system = cubic
total energy = -2.63 eV per atom

Lattice parameters (Å, degrees): 18.4404 18.4404 18.4404 90.00 90.00 90.00
Closest atoms and distances in Å follow each position.
Space group Ia-3d (No. 230)
Inequivalent atoms, fractional coordinates:
Ba 0.0352 0.0561 0.6542 (multiplicity 96)  1 H 2.63
Tl 0.0000 0.2500 0.1250 (multiplicity 24)  8 Ba 3.59-3.67
H 0.0000 0.0000 0.0000 (multiplicity 16)  6 Ba 3.10
H 0.0000 0.2500 0.3750 (multiplicity 24)  4 Ba 2.63

[2]
Compound: Ba12Tl6H
Source: Alexandria via LeMat-Bulk
Functional: PBE
Structure: optimized geometry

Calculated values
crystal system = trigonal
total energy = -2.39 eV per atom

Lattice parameters (Å, degrees): 13.9175 13.9175 15.3961 90.00 90.00 120.00
Closest atoms and distances in Å follow each position.
Space group R-3 (No. 148, hexagonal axes)
Inequivalent atoms, fractional coordinates:
Ba 0.0324 0.1903 0.3871 (multiplicity 18)  1 H 3.01
Ba 0.0333 0.8379 0.8828 (multiplicity 18)  4 Tl 3.53-3.79
Tl 0.0014 0.6030 0.7494 (multiplicity 18)  8 Ba 3.53-3.80
H 0.0000 0.0000 0.5000 (multiplicity 3)  6 Ba 3.01

[3]
Compound: BaTl2H2
Source: Alexandria via LeMat-Bulk
Functional: PBE
Structure: optimized geometry

Calculated values
crystal system = tetragonal
total energy = -2.74 eV per atom

Lattice parameters (Å, degrees): 7.0625 7.0625 5.0854 90.00 90.00 90.00
Closest atoms and distances in Å follow each position.
Space group P4/mbm (No. 127)
Inequivalent atoms, fractional coordinates:
Ba 0.0000 0.0000 0.0000 (multiplicity 2)  4 H 2.59
Tl 0.1628 0.3372 0.5000 (multiplicity 4)  2 H 2.55
H 0.1818 0.3182 0.0000 (multiplicity 4)  2 Tl 2.55, 2 Ba 2.59

[4]
Compound: Ba6Tl2H
Source: Alexandria via LeMat-Bulk
Functional: PBE
Structure: optimized geometry

Calculated values
crystal system = monoclinic
total energy = -2.45 eV per atom

Lattice parameters (Å, degrees): 8.0570 8.4106 14.1168 90.00 124.79 90.00
Closest atoms and distances in Å follow each position.
Space group P2_1/c (No. 14)
Inequivalent atoms, fractional coordinates:
Ba 0.1416 0.2008 0.4478 (multiplicity 4)  1 H 3.02
Ba 0.2482 0.6948 0.4479 (multiplicity 4)  1 H 2.98
Ba 0.3509 0.0148 0.2470 (multiplicity 4)  1 H 2.99
Tl 0.2206 0.0759 0.7487 (multiplicity 4)  6 Ba 3.50-3.72
H 0.0000 0.0000 0.0000 (multiplicity 2)  6 Ba 2.98-3.02

Question: Among the records above, which one has the highest total energy?
Answer: Ba12Tl6H